Compound: TcNi2TeI
Source: Alexandria via LeMat-Bulk
Functional: PBE
Structure: relaxed

Calculated values
Theoretical density in g/cm³: 6.60
DFT total energy in eV/atom: -4.28
M_tot in μB/atom: 0.61
E_form (uncorrected) in eV per atom: 1.043

Cell lengths 4.7243, 4.7243, 5.2949 Å; angles 90.00, 90.00, 90.00 degrees
Last column: nearest neighbours and their distance in Å.
Space group P4/mmm (No. 123)
Unique sites:
1 Tc 0.0000 0.0000 0.0000 (multiplicity 1)  2 Te 2.65
2 Ni 0.0000 0.5000 0.5000 (multiplicity 2)  2 Te 2.36
3 Te 0.0000 0.0000 0.5000 (multiplicity 1)  4 Ni 2.36
4 I 0.5000 0.5000 0.0000 (multiplicity 1)  4 Tc 3.34, 8 Ni 3.55

=====

Compound: LiHoCd4
Source: Alexandria via LeMat-Bulk
Functional: PBE
Structure: relaxed

Calculated values
Theoretical density in g/cm³: 7.63
DFT total energy in eV/atom: -1.89
DFT formation energy in eV/f.u.: -1.169
Distance to the lowest polymorph of the same formula in meV per atom: 29
M_tot in μB/atom: 0.00

Cell lengths 9.9470, 3.9194, 7.3719 Å; angles 90.00, 109.80, 90.00 degrees
Last column: nearest neighbours and their distance in Å.
Space group C2/m (No. 12)
Unique sites:
1 Li 0.0000 0.0000 0.0000 (multiplicity 2)  10 Cd 3.00-3.13
2 Ho 0.0000 0.0000 0.5000 (multiplicity 2)  10 Cd 3.17-3.22
3 Cd 0.1628 0.5000 0.3022 (multiplicity 4)  2 Li 3.00, 4 Cd 3.06-3.34, 3 Ho 3.17-3.19
4 Cd 0.1652 0.5000 0.8509 (multiplicity 4)  3 Li 3.00-3.13, 6 Cd 3.00-3.34, 2 Ho 3.22

=====

Compound: La3Zn4Au4
Source: Alexandria via LeMat-Bulk
Functional: PBE
Structure: relaxed

Calculated values
Theoretical density in g/cm³: 9.99
DFT total energy in eV/atom: -3.63
DFT formation energy in eV/f.u.: -6.981
Distance to the lowest polymorph of the same formula in meV per atom: 0
M_tot in μB/atom: 0.00

Cell lengths 4.4553, 7.3718, 14.8429 Å; angles 90.00, 90.00, 90.00 degrees
Last column: nearest neighbours and their distance in Å.
Space group Immm (No. 71)
Unique sites:
1 La 0.0000 0.0000 0.0000 (multiplicity 2)  6 Au 3.16-3.21
2 La 0.0000 0.5000 0.1325 (multiplicity 4)  6 Au 3.16-3.31, 6 Zn 3.23-3.26
3 Zn 0.0000 0.3131 0.3294 (multiplicity 8)  4 Au 2.67-2.85, 1 Zn 2.76
4 Au 0.0000 0.0000 0.2164 (multiplicity 4)  6 Zn 2.71-2.85
5 Au 0.0000 0.1967 0.5000 (multiplicity 4)  2 Zn 2.67, 1 Au 2.90